Record 1
Below is a relaxed SmDy2Co crystal, with properties calculated at the GGA-PBE level.

a = 9.2648 Å, b = 9.2648 Å, c = 9.2648 Å
α = 23.54°, β = 23.54°, γ = 23.54°
Positions (direct):
Sm 0.0000 0.0000 0.0000
Dy 0.2244 0.2244 0.2244
Dy 0.4460 0.4460 0.4460
Co 0.8352 0.8352 0.8352

Output
formation enthalpy at 0 K = -0.01 eV per atom
magnetization = 0.000 μB per atom
E_tot = -5.271 eV/atom


Record 2
Below is a relaxed Sm3DyCo crystal, with properties calculated at the GGA-PBE level.

a = 7.3206 Å, b = 7.3206 Å, c = 7.3206 Å
α = 108.69°, β = 101.21°, γ = 119.02°
Positions (direct):
Sm 0.2147 0.0000 0.7147
Sm 0.2147 0.5000 0.2147
Sm 0.2724 0.0224 0.2500
Sm 0.7276 0.9776 0.7500
Sm 0.7853 0.0000 0.2853
Sm 0.7853 0.5000 0.7853
Dy 0.2789 0.5289 0.7500
Dy 0.7211 0.4711 0.2500
Co 0.5000 0.0000 0.0000
Co 0.5000 0.5000 0.5000

Output
formation enthalpy at 0 K = -0.03 eV per atom
magnetization = 0.000 μB per atom
E_tot = -5.201 eV/atom


Record 3
Below is a relaxed Sm2DyCo6 crystal, with properties calculated at the GGA-PBE level.

a = 6.6979 Å, b = 6.6979 Å, c = 4.1152 Å
α = 90.00°, β = 90.00°, γ = 120.00°
Positions (direct):
Sm 0.3333 0.6667 0.0000
Sm 0.6667 0.3333 0.0000
Dy 0.0000 0.0000 0.0000
Co 0.0000 0.3321 0.5000
Co 0.0000 0.6679 0.5000
Co 0.3321 0.0000 0.5000
Co 0.3321 0.3321 0.5000
Co 0.6679 0.0000 0.5000
Co 0.6679 0.6679 0.5000

Output
formation enthalpy at 0 K = -0.14 eV per atom
magnetization = 0.495 μB per atom
E_tot = -6.434 eV/atom